[1]
The following is a DFT calculation (PBE-GGA) of a relaxed Dy3PuH crystal.

**Calculated volume**: 120 Å³ per cell
**Theoretical density**: 10.16 g cm⁻³
**E_tot**: -6.3687 eV/atom

a = 4.9293 Å, b = 4.9293 Å, c = 4.9293 Å
α = 90.00°, β = 90.00°, γ = 90.00°
Closest atoms and distances in Å follow each position.
Sites, in units of the cell vectors:
Dy: 0.5000 0.0000 0.0000  2 H 2.46
Dy: 0.0000 0.0000 0.5000  2 H 2.46
Dy: 0.0000 0.5000 0.0000  2 H 2.46
H: 0.0000 0.0000 0.0000  6 Dy 2.46
Pu: 0.5000 0.5000 0.5000  12 Dy 3.49

***

[2]
The following is a DFT calculation (PBE-GGA) of a relaxed DyPuH2 crystal.

**Calculated volume**: 59 Å³ per cell
**Theoretical density**: 11.57 g cm⁻³
**E_tot**: -6.7045 eV/atom

a = 3.4385 Å, b = 3.4385 Å, c = 6.0619 Å
α = 73.52°, β = 73.52°, γ = 60.00°
Closest atoms and distances in Å follow each position.
Sites, in units of the cell vectors:
H: 0.2434 0.2434 0.2698  3 Dy 2.38, 3 Pu 2.52
H: 0.7566 0.7566 0.7302  3 Dy 2.38, 3 Pu 2.52
Pu: 0.0000 0.0000 0.0000  6 H 2.52
Dy: 0.5000 0.5000 0.5000  6 H 2.38

***

[3]
The following is a DFT calculation (PBE-GGA) of a relaxed Dy3Pu5H12 crystal.

**Calculated volume**: 1088 Å³ per cell
**Theoretical density**: 10.50 g cm⁻³
**E_tot**: -6.5357 eV/atom

a = 11.2229 Å, b = 11.2229 Å, c = 11.2229 Å
α = 109.47°, β = 109.47°, γ = 109.47°
Closest atoms and distances in Å follow each position.
Sites, in units of the cell vectors:
H: 0.9273 0.3462 0.2718  3 H 2.21-2.47, 2 Pu 2.22-2.24, 2 Dy 2.26-2.32
H: 0.8444 0.9256 0.2718  3 H 2.21-2.47, 2 Pu 2.22-2.24, 2 Dy 2.26-2.32
H: 0.5727 0.2282 0.1538  3 H 2.21-2.47, 2 Pu 2.22-2.24, 2 Dy 2.26-2.32
H: 0.4256 0.1538 0.5811  3 H 2.21-2.47, 2 Pu 2.22-2.24, 2 Dy 2.26-2.32
H: 0.9256 0.0811 0.6538  3 H 2.21-2.47, 2 Pu 2.22-2.24, 2 Dy 2.26-2.32
H: 0.3462 0.9273 0.7718  3 H 2.21-2.47, 2 Pu 2.22-2.24, 2 Dy 2.26-2.32
H: 0.6538 0.5811 0.9256  3 H 2.21-2.47, 2 Pu 2.22-2.24, 2 Dy 2.26-2.32
H: 0.6556 0.2282 0.5744  3 H 2.21-2.47, 2 Pu 2.22-2.24, 2 Dy 2.26-2.32
H: 0.8462 0.5744 0.9189  3 H 2.21-2.47, 2 Pu 2.22-2.24, 2 Dy 2.26-2.32
H: 0.6556 0.4273 0.5811  3 H 2.21-2.47, 2 Pu 2.22-2.24, 2 Dy 2.26-2.32
H: 0.9189 0.0744 0.8462  3 H 2.21-2.47, 2 Pu 2.22-2.24, 2 Dy 2.26-2.32
H: 0.5811 0.6538 0.4256  3 H 2.21-2.47, 2 Pu 2.22-2.24, 2 Dy 2.26-2.32
H: 0.9256 0.8444 0.7718  3 H 2.21-2.47, 2 Pu 2.22-2.24, 2 Dy 2.26-2.32
H: 0.1556 0.0744 0.7282  3 H 2.21-2.47, 2 Pu 2.22-2.24, 2 Dy 2.26-2.32
H: 0.3444 0.7718 0.4256  3 H 2.21-2.47, 2 Pu 2.22-2.24, 2 Dy 2.26-2.32
H: 0.9273 0.5811 0.1556  3 H 2.21-2.47, 2 Pu 2.22-2.24, 2 Dy 2.26-2.32
H: 0.6538 0.0727 0.2282  3 H 2.21-2.47, 2 Pu 2.22-2.24, 2 Dy 2.26-2.32
H: 0.0744 0.9189 0.3462  3 H 2.21-2.47, 2 Pu 2.22-2.24, 2 Dy 2.26-2.32
H: 0.2282 0.5727 0.6538  3 H 2.21-2.47, 2 Pu 2.22-2.24, 2 Dy 2.26-2.32
H: 0.8462 0.2718 0.4273  3 H 2.21-2.47, 2 Pu 2.22-2.24, 2 Dy 2.26-2.32
H: 0.4189 0.0727 0.3444  3 H 2.21-2.47, 2 Pu 2.22-2.24, 2 Dy 2.26-2.32
H: 0.1538 0.7282 0.5727  3 H 2.21-2.47, 2 Pu 2.22-2.24, 2 Dy 2.26-2.32
H: 0.0811 0.1556 0.4273  3 H 2.21-2.47, 2 Pu 2.22-2.24, 2 Dy 2.26-2.32
H: 0.4273 0.6556 0.0811  3 H 2.21-2.47, 2 Pu 2.22-2.24, 2 Dy 2.26-2.32
H: 0.3444 0.5727 0.4189  3 H 2.21-2.47, 2 Pu 2.22-2.24, 2 Dy 2.26-2.32
H: 0.4189 0.3462 0.5744  3 H 2.21-2.47, 2 Pu 2.22-2.24, 2 Dy 2.26-2.32
H: 0.5727 0.3444 0.9189  3 H 2.21-2.47, 2 Pu 2.22-2.24, 2 Dy 2.26-2.32
H: 0.0811 0.9256 0.1538  3 H 2.21-2.47, 2 Pu 2.22-2.24, 2 Dy 2.26-2.32
H: 0.3462 0.4189 0.0744  3 H 2.21-2.47, 2 Pu 2.22-2.24, 2 Dy 2.26-2.32
H: 0.8444 0.9189 0.0727  3 H 2.21-2.47, 2 Pu 2.22-2.24, 2 Dy 2.26-2.32
H: 0.4256 0.2718 0.3444  3 H 2.21-2.47, 2 Pu 2.22-2.24, 2 Dy 2.26-2.32
H: 0.1538 0.4256 0.0811  3 H 2.21-2.47, 2 Pu 2.22-2.24, 2 Dy 2.26-2.32
H: 0.0727 0.4189 0.8444  3 H 2.21-2.47, 2 Pu 2.22-2.24, 2 Dy 2.26-2.32
H: 0.2282 0.6556 0.0744  3 H 2.21-2.47, 2 Pu 2.22-2.24, 2 Dy 2.26-2.32
H: 0.9189 0.8444 0.5727  3 H 2.21-2.47, 2 Pu 2.22-2.24, 2 Dy 2.26-2.32
H: 0.5744 0.8462 0.4189  3 H 2.21-2.47, 2 Pu 2.22-2.24, 2 Dy 2.26-2.32
H: 0.0727 0.6538 0.7282  3 H 2.21-2.47, 2 Pu 2.22-2.24, 2 Dy 2.26-2.32
H: 0.2718 0.8462 0.9273  3 H 2.21-2.47, 2 Pu 2.22-2.24, 2 Dy 2.26-2.32
H: 0.5811 0.9273 0.6556  3 H 2.21-2.47, 2 Pu 2.22-2.24, 2 Dy 2.26-2.32
H: 0.1556 0.0811 0.9273  3 H 2.21-2.47, 2 Pu 2.22-2.24, 2 Dy 2.26-2.32
H: 0.7718 0.3444 0.9256  3 H 2.21-2.47, 2 Pu 2.22-2.24, 2 Dy 2.26-2.32
H: 0.7282 0.5744 0.1556  3 H 2.21-2.47, 2 Pu 2.22-2.24, 2 Dy 2.26-2.32
H: 0.0744 0.1556 0.2282  3 H 2.21-2.47, 2 Pu 2.22-2.24, 2 Dy 2.26-2.32
H: 0.5744 0.7282 0.6556  3 H 2.21-2.47, 2 Pu 2.22-2.24, 2 Dy 2.26-2.32
H: 0.2718 0.4256 0.8444  3 H 2.21-2.47, 2 Pu 2.22-2.24, 2 Dy 2.26-2.32
H: 0.7282 0.1538 0.0727  3 H 2.21-2.47, 2 Pu 2.22-2.24, 2 Dy 2.26-2.32
H: 0.7718 0.4273 0.3462  3 H 2.21-2.47, 2 Pu 2.22-2.24, 2 Dy 2.26-2.32
H: 0.4273 0.7718 0.8462  3 H 2.21-2.47, 2 Pu 2.22-2.24, 2 Dy 2.26-2.32
Pu: 0.6250 0.8750 0.2500  4 H 2.24
Pu: 0.3750 0.1250 0.7500  4 H 2.24
Pu: 0.6250 0.7500 0.8750  4 H 2.24
Pu: 0.8750 0.2500 0.6250  4 H 2.24
Pu: 0.0000 0.0000 0.0000  6 H 2.22
Pu: 0.3750 0.2500 0.1250  4 H 2.24
Pu: 0.7500 0.1250 0.8750  4 H 2.24
Pu: 0.5000 0.5000 0.0000  6 H 2.22
Pu: 0.0000 0.5000 0.5000  6 H 2.22
Pu: 0.5000 0.0000 0.0000  6 H 2.22
Pu: 0.2500 0.3750 0.6250  4 H 2.24
Pu: 0.0000 0.5000 0.0000  6 H 2.22
Pu: 0.2500 0.8750 0.1250  4 H 2.24
Pu: 0.8750 0.6250 0.7500  4 H 2.24
Pu: 0.1250 0.3750 0.2500  4 H 2.24
Pu: 0.0000 0.0000 0.5000  6 H 2.22
Pu: 0.5000 0.5000 0.5000  6 H 2.22
Pu: 0.1250 0.7500 0.3750  4 H 2.24
Pu: 0.7500 0.6250 0.3750  4 H 2.24
Pu: 0.5000 0.0000 0.5000  6 H 2.22
Dy: 0.2500 0.1250 0.3750  8 H 2.26-2.32
Dy: 0.1250 0.8750 0.7500  8 H 2.26-2.32
Dy: 0.6250 0.3750 0.7500  8 H 2.26-2.32
Dy: 0.3750 0.6250 0.2500  8 H 2.26-2.32
Dy: 0.3750 0.7500 0.6250  8 H 2.26-2.32
Dy: 0.8750 0.7500 0.1250  8 H 2.26-2.32
Dy: 0.6250 0.2500 0.3750  8 H 2.26-2.32
Dy: 0.1250 0.2500 0.8750  8 H 2.26-2.32
Dy: 0.2500 0.6250 0.8750  8 H 2.26-2.32
Dy: 0.7500 0.8750 0.6250  8 H 2.26-2.32
Dy: 0.7500 0.3750 0.1250  8 H 2.26-2.32
Dy: 0.8750 0.1250 0.2500  8 H 2.26-2.32

***

[4]
The following is a DFT calculation (PBE-GGA) of a relaxed Dy5Pu3H12 crystal.

**Calculated volume**: 1105 Å³ per cell
**Theoretical density**: 9.35 g cm⁻³
**E_tot**: -5.6752 eV/atom

a = 11.2821 Å, b = 11.2821 Å, c = 11.2821 Å
α = 109.47°, β = 109.47°, γ = 109.47°
Closest atoms and distances in Å follow each position.
Sites, in units of the cell vectors:
H: 0.5658 0.2261 0.1484  2 Dy 2.20-2.22, 2 Pu 2.31-2.36, 1 H 2.33
H: 0.2739 0.8516 0.9342  2 Dy 2.20-2.22, 2 Pu 2.31-2.36, 1 H 2.33
H: 0.8516 0.2739 0.4342  2 Dy 2.20-2.22, 2 Pu 2.31-2.36, 1 H 2.33
H: 0.7739 0.3397 0.9224  2 Dy 2.20-2.22, 2 Pu 2.31-2.36, 1 H 2.33
H: 0.5826 0.9342 0.6603  2 Dy 2.20-2.22, 2 Pu 2.31-2.36, 1 H 2.33
H: 0.2261 0.5658 0.6484  2 Dy 2.20-2.22, 2 Pu 2.31-2.36, 1 H 2.33
H: 0.7261 0.1484 0.0658  2 Dy 2.20-2.22, 2 Pu 2.31-2.36, 1 H 2.33
H: 0.8397 0.9224 0.2739  2 Dy 2.20-2.22, 2 Pu 2.31-2.36, 1 H 2.33
H: 0.5658 0.3397 0.9174  2 Dy 2.20-2.22, 2 Pu 2.31-2.36, 1 H 2.33
H: 0.4342 0.7739 0.8516  2 Dy 2.20-2.22, 2 Pu 2.31-2.36, 1 H 2.33
H: 0.0776 0.1603 0.2261  2 Dy 2.20-2.22, 2 Pu 2.31-2.36, 1 H 2.33
H: 0.4224 0.1484 0.5826  2 Dy 2.20-2.22, 2 Pu 2.31-2.36, 1 H 2.33
H: 0.2739 0.4224 0.8397  2 Dy 2.20-2.22, 2 Pu 2.31-2.36, 1 H 2.33
H: 0.1484 0.7261 0.5658  2 Dy 2.20-2.22, 2 Pu 2.31-2.36, 1 H 2.33
H: 0.9224 0.8397 0.7739  2 Dy 2.20-2.22, 2 Pu 2.31-2.36, 1 H 2.33
H: 0.9342 0.5826 0.1603  2 Dy 2.20-2.22, 2 Pu 2.31-2.36, 1 H 2.33
H: 0.0776 0.9174 0.3516  2 Dy 2.20-2.22, 2 Pu 2.31-2.36, 1 H 2.33
H: 0.3516 0.4174 0.0776  2 Dy 2.20-2.22, 2 Pu 2.31-2.36, 1 H 2.33
H: 0.0826 0.9224 0.1484  2 Dy 2.20-2.22, 2 Pu 2.31-2.36, 1 H 2.33
H: 0.5776 0.7261 0.6603  2 Dy 2.20-2.22, 2 Pu 2.31-2.36, 1 H 2.33
H: 0.9174 0.8397 0.5658  2 Dy 2.20-2.22, 2 Pu 2.31-2.36, 1 H 2.33
H: 0.3516 0.9342 0.7739  2 Dy 2.20-2.22, 2 Pu 2.31-2.36, 1 H 2.33
H: 0.5776 0.8516 0.4174  2 Dy 2.20-2.22, 2 Pu 2.31-2.36, 1 H 2.33
H: 0.8397 0.9174 0.0658  2 Dy 2.20-2.22, 2 Pu 2.31-2.36, 1 H 2.33
H: 0.1484 0.4224 0.0826  2 Dy 2.20-2.22, 2 Pu 2.31-2.36, 1 H 2.33
H: 0.8516 0.5776 0.9174  2 Dy 2.20-2.22, 2 Pu 2.31-2.36, 1 H 2.33
H: 0.6484 0.5826 0.9224  2 Dy 2.20-2.22, 2 Pu 2.31-2.36, 1 H 2.33
H: 0.3397 0.5658 0.4174  2 Dy 2.20-2.22, 2 Pu 2.31-2.36, 1 H 2.33
H: 0.5826 0.6484 0.4224  2 Dy 2.20-2.22, 2 Pu 2.31-2.36, 1 H 2.33
H: 0.0826 0.1603 0.4342  2 Dy 2.20-2.22, 2 Pu 2.31-2.36, 1 H 2.33
H: 0.4224 0.2739 0.3397  2 Dy 2.20-2.22, 2 Pu 2.31-2.36, 1 H 2.33
H: 0.6603 0.2261 0.5776  2 Dy 2.20-2.22, 2 Pu 2.31-2.36, 1 H 2.33
H: 0.0658 0.6484 0.7261  2 Dy 2.20-2.22, 2 Pu 2.31-2.36, 1 H 2.33
H: 0.7739 0.4342 0.3516  2 Dy 2.20-2.22, 2 Pu 2.31-2.36, 1 H 2.33
H: 0.9224 0.0826 0.6484  2 Dy 2.20-2.22, 2 Pu 2.31-2.36, 1 H 2.33
H: 0.3397 0.7739 0.4224  2 Dy 2.20-2.22, 2 Pu 2.31-2.36, 1 H 2.33
H: 0.2261 0.6603 0.0776  2 Dy 2.20-2.22, 2 Pu 2.31-2.36, 1 H 2.33
H: 0.7261 0.5776 0.1603  2 Dy 2.20-2.22, 2 Pu 2.31-2.36, 1 H 2.33
H: 0.6603 0.4342 0.5826  2 Dy 2.20-2.22, 2 Pu 2.31-2.36, 1 H 2.33
H: 0.0658 0.4174 0.8397  2 Dy 2.20-2.22, 2 Pu 2.31-2.36, 1 H 2.33
H: 0.4342 0.6603 0.0826  2 Dy 2.20-2.22, 2 Pu 2.31-2.36, 1 H 2.33
H: 0.9342 0.3516 0.2739  2 Dy 2.20-2.22, 2 Pu 2.31-2.36, 1 H 2.33
H: 0.1603 0.0826 0.9342  2 Dy 2.20-2.22, 2 Pu 2.31-2.36, 1 H 2.33
H: 0.4174 0.3516 0.5776  2 Dy 2.20-2.22, 2 Pu 2.31-2.36, 1 H 2.33
H: 0.9174 0.0776 0.8516  2 Dy 2.20-2.22, 2 Pu 2.31-2.36, 1 H 2.33
H: 0.4174 0.0658 0.3397  2 Dy 2.20-2.22, 2 Pu 2.31-2.36, 1 H 2.33
H: 0.6484 0.0658 0.2261  2 Dy 2.20-2.22, 2 Pu 2.31-2.36, 1 H 2.33
H: 0.1603 0.0776 0.7261  2 Dy 2.20-2.22, 2 Pu 2.31-2.36, 1 H 2.33
Dy: 0.8750 0.6250 0.7500  4 H 2.20
Dy: 0.2500 0.3750 0.6250  4 H 2.20
Dy: 0.5000 0.5000 0.0000  6 H 2.22
Dy: 0.0000 0.5000 0.5000  6 H 2.22
Dy: 0.3750 0.2500 0.1250  4 H 2.20
Dy: 0.0000 0.0000 0.5000  6 H 2.22
Dy: 0.1250 0.7500 0.3750  4 H 2.20
Dy: 0.7500 0.6250 0.3750  4 H 2.20
Dy: 0.6250 0.7500 0.8750  4 H 2.20
Dy: 0.0000 0.5000 0.0000  6 H 2.22
Dy: 0.3750 0.1250 0.7500  4 H 2.20
Dy: 0.2500 0.8750 0.1250  4 H 2.20
Dy: 0.5000 0.0000 0.0000  6 H 2.22
Dy: 0.5000 0.5000 0.5000  6 H 2.22
Dy: 0.6250 0.8750 0.2500  4 H 2.20
Dy: 0.5000 0.0000 0.5000  6 H 2.22
Dy: 0.7500 0.1250 0.8750  4 H 2.20
Dy: 0.0000 0.0000 0.0000  6 H 2.22
Dy: 0.1250 0.3750 0.2500  4 H 2.20
Dy: 0.8750 0.2500 0.6250  4 H 2.20
Pu: 0.7500 0.3750 0.1250  8 H 2.31-2.36
Pu: 0.8750 0.1250 0.2500  8 H 2.31-2.36
Pu: 0.7500 0.8750 0.6250  8 H 2.31-2.36
Pu: 0.6250 0.3750 0.7500  8 H 2.31-2.36
Pu: 0.2500 0.6250 0.8750  8 H 2.31-2.36
Pu: 0.1250 0.8750 0.7500  8 H 2.31-2.36
Pu: 0.1250 0.2500 0.8750  8 H 2.31-2.36
Pu: 0.8750 0.7500 0.1250  8 H 2.31-2.36
Pu: 0.3750 0.6250 0.2500  8 H 2.31-2.36
Pu: 0.2500 0.1250 0.3750  8 H 2.31-2.36
Pu: 0.6250 0.2500 0.3750  8 H 2.31-2.36
Pu: 0.3750 0.7500 0.6250  8 H 2.31-2.36

***

[5]
The following is a DFT calculation (PBE-GGA) of a relaxed DyPu2H crystal.

**Excess energy over the best structure of this formula in the dataset**: 0.00 eV/f.u.
**Calculated volume**: 87 Å³ per cell
**Theoretical density**: 12.44 g cm⁻³

a = 3.1919 Å, b = 3.1919 Å, c = 8.5354 Å
α = 90.00°, β = 90.00°, γ = 90.00°
Closest atoms and distances in Å follow each position.
Sites, in units of the cell vectors:
H: 0.5000 0.5000 0.0000  8 Pu 2.71
Pu: 0.0000 0.0000 0.1755  4 H 2.71, 1 Pu 3.00
Pu: 0.0000 0.0000 0.8245  4 H 2.71, 1 Pu 3.00
Dy: 0.5000 0.5000 0.5000  4 Dy 3.19, 8 Pu 3.57

***

[6]
The following is a DFT calculation (PBE-GGA) of a relaxed DyPuTe2H crystal.

**Calculated volume**: 244 Å³ per cell
**Theoretical density**: 9.02 g cm⁻³
**E_tot**: -6.7475 eV/atom

a = 4.2445 Å, b = 4.2445 Å, c = 13.5423 Å
α = 90.00°, β = 90.00°, γ = 90.00°
Closest atoms and distances in Å follow each position.
Sites, in units of the cell vectors:
Dy: 0.5000 0.0000 0.0988  6 Te 3.03-3.16
Dy: 0.0000 0.5000 0.9012  6 Te 3.03-3.16
Te: 0.0000 0.5000 0.6679  4 H 3.11, 1 Dy 3.16, 5 Pu 3.25-3.29
Te: 0.0000 0.5000 0.1311  5 Dy 3.03-3.11
Te: 0.5000 0.0000 0.8689  5 Dy 3.03-3.11
Te: 0.5000 0.0000 0.3321  4 H 3.11, 1 Dy 3.16, 5 Pu 3.25-3.29
Pu: 0.5000 0.0000 0.5753  4 H 2.35
Pu: 0.0000 0.5000 0.4247  4 H 2.35
H: 0.5000 0.5000 0.5000  4 Pu 2.35
H: 0.0000 0.0000 0.5000  4 Pu 2.35